This record from Alexandria via LeMat-Bulk describes a relaxed K4La3TiTe8 crystal. The functional is PBE.

Structure (extended XYZ):
```
16
Lattice="9.182 0.000 0.000 0.000 9.775 0.407 -4.591 -4.585 6.497" Properties=species:S:1:pos:R:3 pbc="T T T"
K 4.591 0.000 0.000
K 2.296 -2.293 3.249
K 0.000 0.000 0.000
K -2.296 -2.293 3.249
La 4.591 4.887 0.204
La 2.296 2.595 3.452
La -2.296 2.595 3.452
Ti 0.000 4.887 0.204
Te -2.482 2.380 6.676
Te 0.000 4.858 3.165
Te 0.000 0.347 3.488
Te 2.482 2.380 6.676
Te 2.109 2.810 0.228
Te 4.591 4.843 3.416
Te 4.591 0.331 3.739
Te 7.073 2.810 0.228
```

Values from the calculation:
The formation energy from raw total energies comes out at -1.29 eV per atom. For the total DFT energy (no corrections), the calculation gives -4.55 eV per atom. As for the space group: R-3m, No. 166. As for the density of states at the Fermi level: 6.386 states/eV per cell.